The following is a DFT calculation (PBE-GGA) of crystalline CsK2HgI at its relaxed geometry.

M_tot	0.00	μB/atom
raw formation energy	-0.509	eV/atom
total DFT energy (no corrections)	-1.489	eV/atom

Cell: 6.7915 6.7915 7.5490 Å, 90.00 90.00 90.00°
With the nearest neighbours (Å) after each atom.
Space group P4/mmm (No. 123)
Inequivalent atoms, fractional coordinates:
Cs (0.0000, 0.0000, 0.0000) x1  2 I 3.77
K (0.0000, 0.5000, 0.5000) x2  2 I 3.40
Hg (0.5000, 0.5000, 0.0000) x1  4 Cs 4.80, 8 K 5.08
I (0.0000, 0.0000, 0.5000) x1  4 K 3.40, 2 Cs 3.77